Entry 1:
First-principles (PBE-GGA) data for a geometry-optimized Sm6Ge3PS2 structure, as listed in the Alexandria database.

Unit cell a=4.1083 b=8.3787 c=9.3381 alpha=104.67 beta=102.71 gamma=90.00
Atoms (fractional coordinates):
Sm 0.3355 0.9150 0.6711
Sm 0.6679 0.5806 0.3359
Sm 0.6645 0.0850 0.3289
Sm 0.0018 0.2430 0.0036
Sm 0.9982 0.7570 0.9964
Sm 0.3321 0.4194 0.6641
Ge 0.5000 0.5000 0.0000
Ge 0.8325 0.1679 0.6650
Ge 0.1675 0.8321 0.3350
P 0.5000 0.0000 0.0000
S 0.8328 0.6658 0.6655
S 0.1672 0.3342 0.3345

Values from the calculation:
Size of the total moment in μB per formula unit: 0.00
Raw formation energy in eV per atom: -1.35
Fermi-level density of states in states/eV per cell: 5.651
V in Å³/f.u.: 302.8
SG: C2/m



Entry 2:
First-principles (PBE-GGA) data for a geometry-optimized Tb3YSe6 structure, as listed in the Alexandria database.

Unit cell a=8.4249 b=8.4249 c=8.4249 alpha=90.92 beta=90.92 gamma=90.92
Atoms (fractional coordinates):
Tb 0.4303 0.9209 0.7544
Tb 0.9209 0.7544 0.4303
Tb 0.2456 0.5697 0.0791
Tb 0.7544 0.4303 0.9209
Tb 0.0791 0.2456 0.5697
Tb 0.5697 0.0791 0.2456
Y 0.0000 0.0000 0.0000
Y 0.5000 0.5000 0.5000
Se 0.3153 0.9100 0.0847
Se 0.0900 0.9153 0.6847
Se 0.5925 0.8197 0.4627
Se 0.9153 0.6847 0.0900
Se 0.4627 0.5925 0.8197
Se 0.1803 0.5373 0.4075
Se 0.8197 0.4627 0.5925
Se 0.5373 0.4075 0.1803
Se 0.0847 0.3153 0.9100
Se 0.4075 0.1803 0.5373
Se 0.9100 0.0847 0.3153
Se 0.6847 0.0900 0.9153

Values from the calculation:
Size of the total moment in μB per formula unit: 0.00
Raw formation energy in eV per atom: -1.85
Fermi-level density of states in states/eV per cell: 0.000
V in Å³/f.u.: 298.9
SG: R-3



Entry 3:
First-principles (PBE-GGA) data for a geometry-optimized MnCoNiIr structure, as listed in the Alexandria database.

Unit cell a=4.1618 b=4.1618 c=4.1618 alpha=60.00 beta=60.00 gamma=60.00
Each line ends with the local moment (μB).
Atoms (fractional coordinates):
Ni 0.0000 0.0000 0.0000  0.63
Ir 0.5000 0.5000 0.5000  0.70
Co 0.7500 0.7500 0.7500  1.79
Mn 0.2500 0.2500 0.2500  3.27

Values from the calculation:
Size of the total moment in μB per formula unit: 6.46
Fermi-level density of states in states/eV per cell: 8.397
Total energy in eV per atom: -7.620
V in Å³/f.u.: 51.0
SG: F-43m



Entry 4:
First-principles (PBE-GGA) data for a geometry-optimized ReNiPd structure, as listed in the Alexandria database.

Unit cell a=2.7229 b=2.7229 c=6.4973 alpha=90.00 beta=90.00 gamma=120.00
Atoms (fractional coordinates):
Re 0.0000 0.0000 0.9846
Pd 0.6667 0.3333 0.3392
Ni 0.3333 0.6667 0.6761

Values from the calculation:
Size of the total moment in μB per formula unit: 0.00
Fermi-level density of states in states/eV per cell: 2.994
Total energy in eV per atom: -7.719
V in Å³/f.u.: 41.7
SG: P3m1



Copy entry 1 word for word.
First-principles (PBE-GGA) data for a geometry-optimized Sm6Ge3PS2 structure, as listed in the Alexandria database.

Unit cell a=4.1083 b=8.3787 c=9.3381 alpha=104.67 beta=102.71 gamma=90.00
Atoms (fractional coordinates):
Sm 0.3355 0.9150 0.6711
Sm 0.6679 0.5806 0.3359
Sm 0.6645 0.0850 0.3289
Sm 0.0018 0.2430 0.0036
Sm 0.9982 0.7570 0.9964
Sm 0.3321 0.4194 0.6641
Ge 0.5000 0.5000 0.0000
Ge 0.8325 0.1679 0.6650
Ge 0.1675 0.8321 0.3350
P 0.5000 0.0000 0.0000
S 0.8328 0.6658 0.6655
S 0.1672 0.3342 0.3345

Values from the calculation:
Size of the total moment in μB per formula unit: 0.00
Raw formation energy in eV per atom: -1.35
Fermi-level density of states in states/eV per cell: 5.651
V in Å³/f.u.: 302.8
SG: C2/m



- Which of these has the lowest V?
  ReNiPd